{
  "formula": "BaAsN3",
  "functional": "GGA-PBE",
  "state": "optimized geometry",
  "volume_a3_per_cell": 65.4,
  "formation_energy_uncorrected_mev_per_atom": 694,
  "dos_ef_per_ev_fu": 3.8,
  "density_g_cm3": 6.45,
  "total_magnetization_mub_per_cell": 1.80,
  "cell": [[4.0297, 0.0000, 0.0000], [0.0000, 4.0297, 0.0000], [0.0000, 0.0000, 4.0297]],
  "species": ["Ba", "As", "N", "N", "N"],
  "fractional_positions": [[0.0000, 0.0000, 0.0000], [0.5000, 0.5000, 0.5000], [0.0000, 0.5000, 0.5000], [0.5000, 0.0000, 0.5000], [0.5000, 0.5000, 0.0000]]
}


{
  "formula": "Ba2AsPN",
  "functional": "GGA-PBE",
  "state": "optimized geometry",
  "volume_a3_per_cell": 171.2,
  "formation_energy_uncorrected_mev_per_atom": 283,
  "dos_ef_per_ev_fu": 3.1,
  "density_g_cm3": 3.83,
  "total_magnetization_mub_per_cell": 1.39,
  "cell": [[6.0417, 0.0000, 0.0000], [0.0000, 6.0417, 0.0000], [0.0000, 0.0000, 4.6893]],
  "species": ["Ba", "Ba", "As", "P", "N"],
  "fractional_positions": [[0.0000, 0.5000, 0.0000], [0.5000, 0.0000, 0.0000], [0.0000, 0.0000, 0.5000], [0.0000, 0.0000, 0.0000], [0.5000, 0.5000, 0.5000]]
}